## Li2HoAg6 (PBE-GGA)

Data for a relaxed Li2HoAg6 crystal.

POSCAR file:
```
Li2HoAg6
1.0
-4.259 -1.169 -1.395
3.018 -7.881 -2.612
-0.351 -6.208 6.275
Li Ho Ag
4 2 12
direct
0.250 0.640 0.803
0.250 0.197 0.360
0.750 0.360 0.197
0.750 0.803 0.640
0.250 0.250 0.750
0.750 0.750 0.250
0.250 0.701 0.494
0.250 0.506 0.299
0.750 0.299 0.506
0.750 0.494 0.701
0.750 0.039 0.371
0.750 0.629 0.961
0.250 0.961 0.629
0.250 0.371 0.039
0.250 0.813 0.994
0.250 0.006 0.187
0.750 0.187 0.006
0.750 0.994 0.813
```

Computed properties:
The calculation puts the density of states at the Fermi level at 2.85 states/eV/f.u. The raw total energy is -2.963 eV/atom. The calculation puts the calculated formation energy at -0.1283 eV per atom.

=====

## Tb8DyTh6 (PBE-GGA)

Data for a relaxed Tb8DyTh6 crystal.

POSCAR file:
```
Tb8DyTh6
1.0
7.806 0.251 3.967
2.541 7.385 3.967
0.340 0.251 8.750
Tb Dy Th
8 1 6
direct
0.121 0.675 0.804
0.196 0.879 0.325
0.325 0.196 0.879
0.581 0.581 0.581
0.419 0.419 0.419
0.675 0.804 0.121
0.804 0.121 0.675
0.879 0.325 0.196
0.000 0.000 0.000
0.926 0.465 0.736
0.264 0.074 0.535
0.535 0.264 0.074
0.465 0.736 0.926
0.736 0.926 0.465
0.074 0.535 0.264
```

Computed properties:
The calculation puts the density of states at the Fermi level at 27.19 states/eV/f.u. The raw total energy is -5.588 eV/atom. The calculation puts the calculated formation energy at 0.1565 eV per atom.

=====

## CsMn3Ni (PBE-GGA)

Data for a relaxed CsMn3Ni crystal.

POSCAR file:
```
CsMn3Ni
1.0
4.984 0.000 0.000
0.000 4.984 0.000
0.000 0.000 4.984
Cs Ni Mn
1 1 3
direct
0.000 0.000 0.000
0.500 0.500 0.500
0.000 0.500 0.000
0.000 0.000 0.500
0.500 0.000 0.000
```

Computed properties:
The calculation puts the density of states at the Fermi level at 6.78 states/eV/f.u. For the polymorph energy (0 for the lowest one), the calculation gives 834.0 kJ/mol of formula units. The raw total energy is -4.179 eV/atom. The calculation puts the calculated formation energy at 2.6501 eV per atom.

=====

## BaSr2P (PBE-GGA)

Data for a relaxed BaSr2P crystal.

POSCAR file:
```
BaSr2P
1.0
0.000 4.202 4.202
4.202 0.000 4.202
4.202 4.202 0.000
Ba Sr P
1 2 1
direct
0.500 0.500 0.500
0.000 0.000 0.000
0.750 0.750 0.750
0.250 0.250 0.250
```

Computed properties:
The calculation puts the density of states at the Fermi level at 3.50 states/eV/f.u. The raw total energy is -2.660 eV/atom. The calculation puts the calculated formation energy at 0.0143 eV per atom.

=====

## TmCd2Pd (PBE-GGA)

Data for a relaxed TmCd2Pd crystal.

POSCAR file:
```
TmCd2Pd
1.0
4.876 0.000 0.000
2.438 4.222 0.000
2.438 1.407 3.981
Tm Pd Cd
1 1 2
direct
0.000 0.000 0.000
0.500 0.500 0.500
0.250 0.250 0.250
0.750 0.750 0.750
```

Computed properties:
The calculation puts the density of states at the Fermi level at 3.33 states/eV/f.u. The raw total energy is -3.236 eV/atom. The calculation puts the calculated formation energy at -0.3623 eV per atom.

=====

## HoPaAgOs (PBE-GGA)

Data for a relaxed HoPaAgOs crystal.

POSCAR file:
```
HoPaAgOs
1.0
-2.043 -1.233 -4.353
0.903 -4.456 -1.992
-3.598 -3.416 -0.174
Pa Os Ho Ag
1 1 1 1
direct
0.000 0.000 0.000
0.750 0.750 0.750
0.500 0.500 0.500
0.250 0.250 0.250
```

Computed properties:
The calculation puts the density of states at the Fermi level at 4.31 states/eV/f.u. The raw total energy is -7.125 eV/atom. The calculation puts the calculated formation energy at -0.0862 eV per atom.